A plane-wave DFT calculation with GGA+U was carried out for an optimized crystal structure of MnCrHgO6.

Unit cell a=5.0337 b=5.0337 c=4.8159 alpha=90.07 beta=90.07 gamma=120.04
Last column: nearest neighbours and their distance in Å.
Sites, in units of the cell vectors:
Mn 0.0000 0.0000 0.0000  6 O 1.91
Cr 0.6665 0.3335 0.0000  6 O 1.87-1.88
Hg 0.3332 0.6668 0.5000  6 O 2.33-2.34
O 0.3394 0.0485 0.2176  1 Cr 1.87, 1 Mn 1.91
O 0.3386 0.2906 0.7823  1 Cr 1.87, 1 Mn 1.91
O 0.7081 0.0471 0.7826  1 Cr 1.88, 1 Mn 1.91
O 0.7094 0.6614 0.2177  1 Cr 1.87, 1 Mn 1.91
O 0.9515 0.6606 0.7824  1 Cr 1.87, 1 Mn 1.91
O 0.9529 0.2919 0.2174  1 Cr 1.88, 1 Mn 1.91

## Properties
Spin magnetization ... 3.00 Bohr magnetons per cell
Theoretical density ... 6.3 g/cm3
Calculated total energy ... -5.886 eV/atom